# 1
Density functional theory data (PBE) for crystalline Rb2HfZrBr6 at its relaxed geometry.

Cell and atoms, written as POSCAR:
```
Rb2HfZrBr6
1.0
0.000 5.444 5.444
5.444 0.000 5.444
5.444 5.444 0.000
Rb Hf Zr Br
2 1 1 6
Direct
0.250 0.250 0.250
0.750 0.750 0.750
0.000 0.000 0.000
0.500 0.500 0.500
0.246 0.246 0.754
0.246 0.754 0.246
0.246 0.754 0.754
0.754 0.246 0.246
0.754 0.246 0.754
0.754 0.754 0.246
```

Formation energy from raw total energies = -1.11 eV/atom
Space group = Fm-3m, No. 225
E = -4.16 eV per atom

***

# 2
Density functional theory data (PBE) for crystalline HfRe3Br at its relaxed geometry.

Cell and atoms, written as POSCAR:
```
HfRe3Br
1.0
4.928 0.000 0.000
0.000 4.928 0.000
0.000 0.000 4.928
Hf Re Br
1 3 1
Direct
0.000 0.000 0.000
0.000 0.000 0.500
0.000 0.500 0.000
0.500 0.000 0.000
0.500 0.500 0.500
```

Formation energy from raw total energies = 2.83 eV/atom
Distance to the lowest polymorph of the same formula = 1.036 eV per atom
Space group = Pm-3m, No. 221
E = -6.96 eV per atom

***

# 3
Density functional theory data (PBE) for crystalline HfRe3Br at its relaxed geometry.

Cell and atoms, written as POSCAR:
```
HfRe3Br
1.0
4.552 0.000 0.000
0.000 4.552 0.000
0.000 0.000 4.552
Hf Re Br
1 3 1
Direct
0.000 0.000 0.000
0.000 0.500 0.500
0.500 0.000 0.500
0.500 0.500 0.000
0.500 0.500 0.500
```

Formation energy from raw total energies = 1.80 eV/atom
Distance to the lowest polymorph of the same formula = 0.000 eV per atom
Space group = Pm-3m, No. 221
E = -8.00 eV per atom

***

# 4
Density functional theory data (PBE) for crystalline HfRe2Br at its relaxed geometry.

Cell and atoms, written as POSCAR:
```
HfRe2Br
1.0
7.683 0.000 0.000
0.000 7.683 0.000
0.000 0.000 5.126
Hf Re Br
4 8 4
Direct
0.000 0.000 0.000
0.000 0.500 0.250
0.500 0.000 0.750
0.500 0.500 0.500
0.230 0.250 0.625
0.250 0.730 0.875
0.250 0.770 0.375
0.270 0.250 0.125
0.730 0.750 0.125
0.750 0.230 0.375
0.750 0.270 0.875
0.770 0.750 0.625
0.000 0.000 0.500
0.000 0.500 0.750
0.500 0.000 0.250
0.500 0.500 0.000
```

Formation energy from raw total energies = 1.15 eV/atom
Distance to the lowest polymorph of the same formula = 0.134 eV per atom
Space group = I-42d, No. 122
E = -7.98 eV per atom

***

# 5
Density functional theory data (PBE) for crystalline Hf2ReBr at its relaxed geometry.

Cell and atoms, written as POSCAR:
```
Hf2ReBr
1.0
5.738 0.000 0.000
0.000 5.738 0.000
0.000 0.000 13.742
Hf Re Br
8 4 4
Direct
0.193 0.250 0.125
0.250 0.693 0.375
0.250 0.807 0.875
0.307 0.250 0.625
0.693 0.750 0.625
0.750 0.193 0.875
0.750 0.307 0.375
0.807 0.750 0.125
0.000 0.000 0.000
0.000 0.500 0.250
0.500 0.000 0.750
0.500 0.500 0.500
0.000 0.000 0.500
0.000 0.500 0.750
0.500 0.000 0.250
0.500 0.500 0.000
```

Formation energy from raw total energies = 0.72 eV/atom
Distance to the lowest polymorph of the same formula = 0.423 eV per atom
Space group = I-42d, No. 122
E = -7.79 eV per atom

***

# 6
Density functional theory data (PBE) for crystalline HfRe2Br at its relaxed geometry.

Cell and atoms, written as POSCAR:
```
HfRe2Br
1.0
6.516 0.000 0.000
0.000 6.516 0.000
0.000 0.000 6.516
Hf Re Br
4 8 4
Direct
0.000 0.000 0.000
0.000 0.500 0.500
0.500 0.000 0.500
0.500 0.500 0.000
0.250 0.250 0.250
0.250 0.250 0.750
0.250 0.750 0.250
0.250 0.750 0.750
0.750 0.250 0.250
0.750 0.250 0.750
0.750 0.750 0.250
0.750 0.750 0.750
0.000 0.000 0.500
0.000 0.500 0.000
0.500 0.000 0.000
0.500 0.500 0.500
```

Formation energy from raw total energies = 1.01 eV/atom
Distance to the lowest polymorph of the same formula = 0.000 eV per atom
Space group = Fm-3m, No. 225
E = -8.12 eV per atom

***

# 7
Density functional theory data (PBE) for crystalline Hf2ReBr at its relaxed geometry.

Cell and atoms, written as POSCAR:
```
Hf2ReBr
1.0
6.756 0.000 0.000
0.000 6.756 0.000
0.000 0.000 6.756
Hf Re Br
8 4 4
Direct
0.250 0.250 0.250
0.250 0.250 0.750
0.250 0.750 0.250
0.250 0.750 0.750
0.750 0.250 0.250
0.750 0.250 0.750
0.750 0.750 0.250
0.750 0.750 0.750
0.000 0.000 0.000
0.000 0.500 0.500
0.500 0.000 0.500
0.500 0.500 0.000
0.000 0.000 0.500
0.000 0.500 0.000
0.500 0.000 0.000
0.500 0.500 0.500
```

Formation energy from raw total energies = 0.30 eV/atom
Distance to the lowest polymorph of the same formula = 0.000 eV per atom
Space group = Fm-3m, No. 225
E = -8.21 eV per atom

***

# 8
Density functional theory data (PBE) for crystalline HfReSeBr2 at its relaxed geometry.

Cell and atoms, written as POSCAR:
```
HfReSeBr2
1.0
5.305 0.000 0.000
0.000 5.305 0.000
0.000 0.000 5.167
Hf Re Se Br
1 1 1 2
Direct
0.000 0.000 0.000
0.500 0.500 0.500
0.000 0.000 0.500
0.000 0.500 0.000
0.500 0.000 0.000
```

Formation energy from raw total energies = 0.60 eV/atom
Distance to the lowest polymorph of the same formula = 0.000 eV per atom
Space group = P4/mmm, No. 123
E = -5.24 eV per atom

***

# 9
Density functional theory data (PBE) for crystalline HfReSeBr2 at its relaxed geometry.

Cell and atoms, written as POSCAR:
```
HfReSeBr2
1.0
5.090 0.000 0.000
0.000 5.090 0.000
0.000 0.000 4.761
Hf Re Se Br
1 1 1 2
Direct
0.000 0.000 0.000
0.500 0.500 0.500
0.500 0.500 0.000
0.000 0.500 0.500
0.500 0.000 0.500
```

Formation energy from raw total energies = 0.93 eV/atom
Distance to the lowest polymorph of the same formula = 0.326 eV per atom
Space group = P4/mmm, No. 123
E = -4.92 eV per atom

***

# 10
Density functional theory data (PBE) for crystalline SrHf2ReBr at its relaxed geometry.

Cell and atoms, written as POSCAR:
```
SrHf2ReBr
1.0
4.916 0.000 0.000
0.000 4.916 0.000
0.000 0.000 5.327
Sr Hf Re Br
1 2 1 1
Direct
0.000 0.000 0.000
0.000 0.500 0.500
0.500 0.000 0.500
0.500 0.500 0.000
0.000 0.000 0.500
```

Formation energy from raw total energies = 1.21 eV/atom
Space group = P4/mmm, No. 123
E = -5.94 eV per atom

***

# 11
Density functional theory data (PBE) for crystalline HfV2ReBr at its relaxed geometry.

Cell and atoms, written as POSCAR:
```
HfV2ReBr
1.0
4.356 0.000 0.000
0.000 4.356 0.000
0.000 0.000 4.878
Hf V Re Br
1 2 1 1
Direct
0.000 0.000 0.000
0.000 0.500 0.500
0.500 0.000 0.500
0.500 0.500 0.000
0.000 0.000 0.500
```

Formation energy from raw total energies = 1.25 eV/atom
Space group = P4/mmm, No. 123
E = -7.21 eV per atom

***

# 12
Density functional theory data (PBE) for crystalline HfReW2Br at its relaxed geometry.

Cell and atoms, written as POSCAR:
```
HfReW2Br
1.0
4.552 0.000 0.000
0.000 4.552 0.000
0.000 0.000 4.728
Hf Re W Br
1 1 2 1
Direct
0.000 0.000 0.000
0.500 0.500 0.000
0.000 0.500 0.500
0.500 0.000 0.500
0.000 0.000 0.500
```

Formation energy from raw total energies = 2.01 eV/atom
Space group = P4/mmm, No. 123
E = -7.99 eV per atom

***

# 13
Density functional theory data (PBE) for crystalline Hf3RhBr at its relaxed geometry.

Cell and atoms, written as POSCAR:
```
Hf3RhBr
1.0
5.047 0.000 0.000
0.000 5.047 0.000
0.000 0.000 5.047
Hf Rh Br
3 1 1
Direct
0.000 0.000 0.500
0.000 0.500 0.000
0.500 0.000 0.000
0.000 0.000 0.000
0.500 0.500 0.500
```

Formation energy from raw total energies = 0.28 eV/atom
Distance to the lowest polymorph of the same formula = 0.000 eV per atom
Space group = Pm-3m, No. 221
E = -7.50 eV per atom

***

# 14
Density functional theory data (PBE) for crystalline Hf2RhBr at its relaxed geometry.

Cell and atoms, written as POSCAR:
```
Hf2RhBr
1.0
6.718 0.000 0.000
0.000 6.718 0.000
0.000 0.000 6.718
Hf Rh Br
8 4 4
Direct
0.250 0.250 0.250
0.250 0.250 0.750
0.250 0.750 0.250
0.250 0.750 0.750
0.750 0.250 0.250
0.750 0.250 0.750
0.750 0.750 0.250
0.750 0.750 0.750
0.000 0.000 0.000
0.000 0.500 0.500
0.500 0.000 0.500
0.500 0.500 0.000
0.000 0.000 0.500
0.000 0.500 0.000
0.500 0.000 0.000
0.500 0.500 0.500
```

Formation energy from raw total energies = -0.17 eV/atom
Distance to the lowest polymorph of the same formula = 0.000 eV per atom
Space group = Fm-3m, No. 225
E = -7.40 eV per atom

***

# 15
Density functional theory data (PBE) for crystalline Hf2RhBr at its relaxed geometry.

Cell and atoms, written as POSCAR:
```
Hf2RhBr
1.0
5.792 0.000 0.000
0.000 5.792 0.000
0.000 0.000 12.987
Hf Rh Br
8 4 4
Direct
0.209 0.250 0.125
0.250 0.709 0.375
0.250 0.791 0.875
0.291 0.250 0.625
0.709 0.750 0.625
0.750 0.209 0.875
0.750 0.291 0.375
0.791 0.750 0.125
0.000 0.000 0.000
0.000 0.500 0.250
0.500 0.000 0.750
0.500 0.500 0.500
0.000 0.000 0.500
0.000 0.500 0.750
0.500 0.000 0.250
0.500 0.500 0.000
```

Formation energy from raw total energies = 0.16 eV/atom
Distance to the lowest polymorph of the same formula = 0.328 eV per atom
Space group = I-42d, No. 122
E = -7.08 eV per atom

***

# 16
Density functional theory data (PBE) for crystalline HfRh2Br at its relaxed geometry.

Cell and atoms, written as POSCAR:
```
HfRh2Br
1.0
5.794 0.000 0.000
0.000 5.794 0.000
0.000 0.000 11.472
Hf Rh Br
4 8 4
Direct
0.000 0.000 0.000
0.000 0.500 0.250
0.500 0.000 0.750
0.500 0.500 0.500
0.247 0.250 0.625
0.250 0.747 0.875
0.250 0.753 0.375
0.253 0.250 0.125
0.747 0.750 0.125
0.750 0.247 0.375
0.750 0.253 0.875
0.753 0.750 0.625
0.000 0.000 0.500
0.000 0.500 0.750
0.500 0.000 0.250
0.500 0.500 0.000
```

Formation energy from raw total energies = 0.18 eV/atom
Distance to the lowest polymorph of the same formula = 0.185 eV per atom
Space group = I-42d, No. 122
E = -6.41 eV per atom

***

# 17
Density functional theory data (PBE) for crystalline HfRh2Br at its relaxed geometry.

Cell and atoms, written as POSCAR:
```
HfRh2Br
1.0
6.525 0.000 0.000
0.000 6.525 0.000
0.000 0.000 6.525
Hf Rh Br
4 8 4
Direct
0.000 0.000 0.000
0.000 0.500 0.500
0.500 0.000 0.500
0.500 0.500 0.000
0.250 0.250 0.250
0.250 0.250 0.750
0.250 0.750 0.250
0.250 0.750 0.750
0.750 0.250 0.250
0.750 0.250 0.750
0.750 0.750 0.250
0.750 0.750 0.750
0.000 0.000 0.500
0.000 0.500 0.000
0.500 0.000 0.000
0.500 0.500 0.500
```

Formation energy from raw total energies = -0.01 eV/atom
Distance to the lowest polymorph of the same formula = 0.000 eV per atom
Space group = Fm-3m, No. 225
E = -6.59 eV per atom

***

# 18
Density functional theory data (PBE) for crystalline HfScRh2Br at its relaxed geometry.

Cell and atoms, written as POSCAR:
```
HfScRh2Br
1.0
4.624 0.000 0.000
0.000 4.624 0.000
0.000 0.000 5.508
Hf Sc Rh Br
1 1 2 1
Direct
0.000 0.000 0.000
0.000 0.000 0.500
0.000 0.500 0.500
0.500 0.000 0.500
0.500 0.500 0.000
```

Formation energy from raw total energies = 0.92 eV/atom
Space group = P4/mmm, No. 123
E = -5.61 eV per atom

***

# 19
Density functional theory data (PBE) for crystalline HfSc2RhBr at its relaxed geometry.

Cell and atoms, written as POSCAR:
```
HfSc2RhBr
1.0
5.308 0.000 0.000
0.000 5.308 0.000
0.000 0.000 4.846
Hf Sc Rh Br
1 2 1 1
Direct
0.000 0.000 0.000
0.000 0.500 0.000
0.500 0.000 0.000
0.500 0.500 0.500
0.000 0.000 0.500
```

Formation energy from raw total energies = 1.03 eV/atom
Space group = P4/mmm, No. 123
E = -5.30 eV per atom

***

# 20
Density functional theory data (PBE) for crystalline HfRhSeBr2 at its relaxed geometry.

Cell and atoms, written as POSCAR:
```
HfRhSeBr2
1.0
4.893 0.000 0.000
0.000 4.893 0.000
0.000 0.000 4.988
Hf Rh Se Br
1 1 1 2
Direct
0.000 0.000 0.000
0.500 0.500 0.500
0.500 0.500 0.000
0.000 0.500 0.500
0.500 0.000 0.500
```

Formation energy from raw total energies = 0.37 eV/atom
Distance to the lowest polymorph of the same formula = 0.304 eV per atom
Space group = P4/mmm, No. 123
E = -4.46 eV per atom